(1)
# SrPmGaIr

SrPmGaIr after structural relaxation (PBE, Alexandria via LeMat-Bulk).

```
4
Lattice="0.0000 3.6417 3.6417 3.6417 0.0000 3.6417 3.6417 3.6417 0.0000" Properties=species:S:1:pos:R:3 pbc="T T T"
Sr 0.0000 0.0000 0.0000
Pm 3.6417 3.6417 3.6417
Ga 1.8209 1.8209 1.8209
Ir 5.4626 5.4626 5.4626
```

The formation energy is -0.3216 eV per atom. As for the space-group type: F-43m (216).

(2)
# SrPmGa2Ir2

SrPmGa2Ir2 after structural relaxation (PBE, Alexandria via LeMat-Bulk).

```
6
Lattice="4.3252 0.0000 0.0000 -2.1626 3.7458 0.0000 0.0000 0.0000 8.4000" Properties=species:S:1:pos:R:3 pbc="T T T"
Sr 0.0000 0.0000 0.0000
Pm 0.0000 0.0000 4.2000
Ga 0.0000 2.4972 2.2419
Ga 2.1626 1.2486 6.1581
Ir 0.0000 2.4972 6.0343
Ir 2.1626 1.2486 2.3657
```

The formation energy is -0.6309 eV per atom. As for the space-group type: P-3m1 (164).

(3)
# Pm2TaGa3Ir4

Pm2TaGa3Ir4 after structural relaxation (PBE, Alexandria via LeMat-Bulk).

```
10
Lattice="4.2409 0.0000 0.0000 0.0000 4.2409 0.0000 0.0000 0.0000 10.6903" Properties=species:S:1:pos:R:3 pbc="T T T"
Pm 0.0000 2.1205 2.4465
Pm 2.1205 0.0000 8.2437
Ta 0.0000 0.0000 5.3451
Ga 0.0000 2.1205 9.3515
Ga 2.1205 0.0000 1.3387
Ga 2.1205 2.1205 5.3451
Ir 0.0000 0.0000 0.0000
Ir 0.0000 2.1205 6.8193
Ir 2.1205 0.0000 3.8710
Ir 2.1205 2.1205 0.0000
```

The formation energy is -0.6813 eV per atom. As for the space-group type: P-4m2 (115).

(4)
# TbPmGaIr

TbPmGaIr after structural relaxation (PBE, Alexandria via LeMat-Bulk).

```
4
Lattice="4.2635 0.0000 0.0000 0.0000 2.0505 5.4110 0.0000 -2.0505 5.4110" Properties=species:S:1:pos:R:3 pbc="T T T"
Tb 0.0000 0.0000 0.0000
Pm 2.1317 0.0000 3.0546
Ga 0.0000 0.0000 7.6246
Ir 2.1317 0.0000 6.1011
```

The formation energy is -0.6948 eV per atom. As for the space-group type: Amm2 (38). For the offset from the most stable computed form, the calculation gives 0.0 kJ/mol of atoms.

(5)
# TbPmGa2Ir2

TbPmGa2Ir2 after structural relaxation (PBE, Alexandria via LeMat-Bulk).

```
6
Lattice="4.4063 0.0000 0.0000 -2.2031 3.8160 0.0000 0.0000 0.0000 7.2931" Properties=species:S:1:pos:R:3 pbc="T T T"
Tb 0.0000 0.0000 0.0000
Pm 0.0000 0.0000 3.6465
Ga 0.0000 2.5440 5.5610
Ga 2.2032 1.2720 1.7321
Ir 0.0000 2.5440 1.7367
Ir 2.2032 1.2720 5.5564
```

The formation energy is -0.7678 eV per atom. As for the space-group type: P-3m1 (164).

(6)
# TbPmGaIr

TbPmGaIr after structural relaxation (PBE, Alexandria via LeMat-Bulk).

```
4
Lattice="0.0000 3.5598 3.5598 3.5598 0.0000 3.5598 3.5598 3.5598 0.0000" Properties=species:S:1:pos:R:3 pbc="T T T"
Tb 0.0000 0.0000 0.0000
Pm 3.5598 3.5598 3.5598
Ga 5.3397 5.3397 5.3397
Ir 1.7799 1.7799 1.7799
```

The formation energy is -0.5961 eV per atom. As for the space-group type: F-43m (216). For the offset from the most stable computed form, the calculation gives 9.5 kJ/mol of atoms.

(7)
# PmThGaIr

PmThGaIr after structural relaxation (PBE, Alexandria via LeMat-Bulk).

```
4
Lattice="0.0000 3.6234 3.6234 3.6234 0.0000 3.6234 3.6234 3.6234 0.0000" Properties=species:S:1:pos:R:3 pbc="T T T"
Pm 0.0000 0.0000 0.0000
Th 3.6234 3.6234 3.6234
Ga 5.4351 5.4351 5.4351
Ir 1.8117 1.8117 1.8117
```

The formation energy is -0.5085 eV per atom. As for the space-group type: F-43m (216). For the offset from the most stable computed form, the calculation gives 25.6 kJ/mol of atoms.

(8)
# PmThGaIr

PmThGaIr after structural relaxation (PBE, Alexandria via LeMat-Bulk).

```
4
Lattice="4.0031 0.0000 0.0000 0.0000 2.0955 5.8598 0.0000 -2.0955 5.8598" Properties=species:S:1:pos:R:3 pbc="T T T"
Pm 0.0000 0.0000 0.0000
Th 2.0016 0.0000 3.2411
Ga 2.0016 0.0000 6.7518
Ir 0.0000 0.0000 8.6560
```

The formation energy is -0.7742 eV per atom. As for the space-group type: Amm2 (38). For the offset from the most stable computed form, the calculation gives 0.0 kJ/mol of atoms.

(9)
# PmTiGaIr2

PmTiGaIr2 after structural relaxation (PBE, Alexandria via LeMat-Bulk).

```
5
Lattice="-2.0249 2.0249 5.8293 2.0249 -2.0249 5.8293 2.0249 2.0249 -5.8293" Properties=species:S:1:pos:R:3 pbc="T T T"
Pm 0.0000 0.0000 0.0000
Ti 2.0249 0.0000 2.9146
Ga 0.0000 2.0249 2.9146
Ir 0.0000 0.0000 4.5073
Ir 0.0000 0.0000 7.1512
```

The formation energy is -0.7801 eV per atom. As for the space-group type: I-4m2 (119).

(10)
# PmTmGa2Ir2

PmTmGa2Ir2 after structural relaxation (PBE, Alexandria via LeMat-Bulk).

```
6
Lattice="4.4157 0.0000 0.0000 -2.2079 3.8241 0.0000 0.0000 0.0000 7.0938" Properties=species:S:1:pos:R:3 pbc="T T T"
Pm 0.0000 0.0000 0.0000
Tm 0.0000 0.0000 3.5469
Ga 0.0000 2.5494 1.9449
Ga 2.2079 1.2747 5.1489
Ir 0.0000 2.5494 5.1547
Ir 2.2079 1.2747 1.9391
```

The formation energy is -0.7869 eV per atom. As for the space-group type: P-3m1 (164).

(11)
# PmYGaIr

PmYGaIr after structural relaxation (PBE, Alexandria via LeMat-Bulk).

```
4
Lattice="0.0000 3.5565 3.5565 3.5565 0.0000 3.5565 3.5565 3.5565 0.0000" Properties=species:S:1:pos:R:3 pbc="T T T"
Pm 0.0000 0.0000 0.0000
Y 3.5565 3.5565 3.5565
Ga 1.7782 1.7782 1.7782
Ir 5.3347 5.3347 5.3347
```

The formation energy is -0.6053 eV per atom. As for the space-group type: F-43m (216). For the offset from the most stable computed form, the calculation gives 8.8 kJ/mol of atoms.

(12)
# PmYGaIr

PmYGaIr after structural relaxation (PBE, Alexandria via LeMat-Bulk).

```
4
Lattice="4.3081 0.0000 0.0000 0.0000 2.0375 5.3808 0.0000 -2.0375 5.3808" Properties=species:S:1:pos:R:3 pbc="T T T"
Pm 0.0000 0.0000 0.0000
Y 2.1541 0.0000 7.7225
Ga 2.1541 0.0000 4.5503
Ir 0.0000 0.0000 3.0548
```

The formation energy is -0.6964 eV per atom. As for the space-group type: Amm2 (38). For the offset from the most stable computed form, the calculation gives 0.0 kJ/mol of atoms.

(13)
# PmYGa2Ir2

PmYGa2Ir2 after structural relaxation (PBE, Alexandria via LeMat-Bulk).

```
6
Lattice="4.4058 0.0000 0.0000 -2.2029 3.8156 0.0000 0.0000 0.0000 7.2834" Properties=species:S:1:pos:R:3 pbc="T T T"
Pm 0.0000 0.0000 0.0000
Y 0.0000 0.0000 3.6417
Ga 0.0000 2.5437 1.9217
Ga 2.2029 1.2719 5.3617
Ir 0.0000 2.5437 5.3782
Ir 2.2029 1.2719 1.9052
```

The formation energy is -0.7680 eV per atom. As for the space-group type: P-3m1 (164).

(14)
# Pm2ZnGa3Ir4

Pm2ZnGa3Ir4 after structural relaxation (PBE, Alexandria via LeMat-Bulk).

```
10
Lattice="4.2462 0.0000 0.0000 0.0000 4.2462 0.0000 0.0000 0.0000 10.3746" Properties=species:S:1:pos:R:3 pbc="T T T"
Pm 0.0000 2.1231 2.5046
Pm 2.1231 0.0000 7.8700
Zn 0.0000 0.0000 5.1873
Ga 0.0000 2.1231 9.0599
Ga 2.1231 0.0000 1.3148
Ga 2.1231 2.1231 5.1873
Ir 0.0000 0.0000 0.0000
Ir 0.0000 2.1231 6.5926
Ir 2.1231 0.0000 3.7820
Ir 2.1231 2.1231 0.0000
```

The formation energy is -0.6576 eV per atom. As for the space-group type: P-4m2 (115).

(15)
# Pm2ZnGaIr2

Pm2ZnGaIr2 after structural relaxation (PBE, Alexandria via LeMat-Bulk).

```
12
Lattice="-2.9514 7.0864 2.9590 2.9514 -7.0864 2.9590 2.9514 7.0864 -2.9590" Properties=species:S:1:pos:R:3 pbc="T T T"
Pm 1.4314 2.4212 0.0000
Pm 1.4314 -2.4212 2.9590
Pm 1.5199 9.5076 0.0000
Pm 1.5199 4.6652 2.9590
Zn 0.0000 0.0000 1.4795
Zn 0.0000 0.0000 4.4384
Ga 2.9514 0.0000 1.4795
Ga 0.0000 7.0864 1.4795
Ir 4.3753 1.6154 0.0000
Ir 1.4239 5.4710 0.0000
Ir 1.5274 1.6154 2.9590
Ir -1.4239 5.4710 2.9590
```

The formation energy is -0.6429 eV per atom. As for the space-group type: Ibam (72).

(16)
# Pm2ZnGa4Ir3

Pm2ZnGa4Ir3 after structural relaxation (PBE, Alexandria via LeMat-Bulk).

```
10
Lattice="4.1384 0.0000 0.0000 0.0000 4.1384 0.0000 0.0000 0.0000 11.0075" Properties=species:S:1:pos:R:3 pbc="T T T"
Pm 0.0000 2.0692 2.6880
Pm 2.0692 0.0000 8.3195
Zn 0.0000 0.0000 5.5038
Ga 0.0000 0.0000 0.0000
Ga 0.0000 2.0692 6.9944
Ga 2.0692 0.0000 4.0131
Ga 2.0692 2.0692 0.0000
Ir 0.0000 2.0692 9.5172
Ir 2.0692 0.0000 1.4903
Ir 2.0692 2.0692 5.5038
```

The formation energy is -0.6221 eV per atom. As for the space-group type: P-4m2 (115).

(17)
# Pm2Zn3Ga4Ir

Pm2Zn3Ga4Ir after structural relaxation (PBE, Alexandria via LeMat-Bulk).

```
10
Lattice="4.2008 0.0000 0.0000 0.0000 4.2008 0.0000 0.0000 0.0000 10.7016" Properties=species:S:1:pos:R:3 pbc="T T T"
Pm 0.0000 2.1004 2.6427
Pm 2.1004 0.0000 8.0589
Zn 0.0000 0.0000 0.0000
Zn 0.0000 2.1004 6.8319
Zn 2.1004 0.0000 3.8697
Ga 0.0000 0.0000 5.3508
Ga 0.0000 2.1004 9.2929
Ga 2.1004 0.0000 1.4087
Ga 2.1004 2.1004 5.3508
Ir 2.1004 2.1004 0.0000
```

The formation energy is -0.4955 eV per atom. As for the space-group type: P-4m2 (115).

(18)
# Pm2ZrGa3Ir4

Pm2ZrGa3Ir4 after structural relaxation (PBE, Alexandria via LeMat-Bulk).

```
10
Lattice="4.2152 0.0000 0.0000 0.0000 4.2152 0.0000 0.0000 0.0000 11.0286" Properties=species:S:1:pos:R:3 pbc="T T T"
Pm 0.0000 2.1076 2.4845
Pm 2.1076 0.0000 8.5441
Zr 0.0000 0.0000 5.5143
Ga 0.0000 2.1076 9.6748
Ga 2.1076 0.0000 1.3538
Ga 2.1076 2.1076 5.5143
Ir 0.0000 0.0000 0.0000
Ir 0.0000 2.1076 7.1508
Ir 2.1076 0.0000 3.8778
Ir 2.1076 2.1076 0.0000
```

The formation energy is -0.7396 eV per atom. As for the space-group type: P-4m2 (115).

(19)
# PmZrGaIr

PmZrGaIr after structural relaxation (PBE, Alexandria via LeMat-Bulk).

```
4
Lattice="0.0000 3.4705 3.4705 3.4705 0.0000 3.4705 3.4705 3.4705 0.0000" Properties=species:S:1:pos:R:3 pbc="T T T"
Pm 0.0000 0.0000 0.0000
Zr 3.4705 3.4705 3.4705
Ga 5.2057 5.2057 5.2057
Ir 1.7352 1.7352 1.7352
```

The formation energy is -0.4512 eV per atom. As for the space-group type: F-43m (216).

(20)
# Pr8Ga2Ir

Pr8Ga2Ir after structural relaxation (PBE, Alexandria via LeMat-Bulk).

```
11
Lattice="9.4708 -2.5628 0.0000 9.4708 2.5628 0.0000 -1.4748 0.0000 6.7907" Properties=species:S:1:pos:R:3 pbc="T T T"
Pr 0.0149 0.0000 1.9185
Pr 2.7722 0.0000 5.4994
Pr 5.7817 0.0000 3.5827
Pr 7.6658 0.0000 0.3510
Pr 9.8010 0.0000 6.4397
Pr 11.6850 0.0000 3.2080
Pr 14.6945 0.0000 1.2913
Pr 17.4519 0.0000 4.8722
Ga 3.1878 0.0000 1.6440
Ga 14.2789 0.0000 5.1467
Ir 8.7334 0.0000 3.3954
```

The formation energy is -0.3249 eV per atom. As for the space-group type: C2/m (12). For the offset from the most stable computed form, the calculation gives 0.0 kJ/mol of atoms.

(21)
# Pr12Ga6Ir

Pr12Ga6Ir after structural relaxation (PBE, Alexandria via LeMat-Bulk).

```
19
Lattice="6.6608 3.8456 4.1129 -6.6608 3.8456 4.1129 0.0000 -7.6913 4.1129" Properties=species:S:1:pos:R:3 pbc="T T T"
Pr -4.3001 -4.4353 6.7816
Pr -5.9912 1.5064 5.5572
Pr -1.6482 -1.9991 4.8420
Pr 1.6910 -5.9417 5.5571
Pr -0.9071 2.4269 4.8420
Pr -2.5553 0.4279 7.4967
Pr 2.5554 -0.4279 4.8420
Pr 0.9071 -2.4269 7.4967
Pr -1.6910 5.9417 6.7816
Pr 1.6482 1.9991 7.4967
Pr 5.9912 -1.5064 6.7816
Pr 4.3001 4.4353 5.5572
Ga -3.2968 0.6280 4.3898
Ga 1.1045 -3.1691 4.3898
Ga -2.1923 -2.5411 7.9490
Ga 2.1923 2.5411 4.3898
Ga -1.1045 3.1691 7.9490
Ga 3.2968 -0.6280 7.9490
Ir 0.0000 0.0000 0.0000
```

The formation energy is -0.2423 eV per atom. As for the space-group type: R-3 (148).

(22)
# PrGa2Ir

PrGa2Ir after structural relaxation (PBE, Alexandria via LeMat-Bulk).

```
16
Lattice="-2.2169 4.6851 7.9945 2.2169 -4.6851 7.9945 2.2169 4.6851 -7.9945" Properties=species:S:1:pos:R:3 pbc="T T T"
Pr 0.0000 0.0000 3.3066
Pr 0.0000 2.2731 0.0000
Pr 0.0000 7.0971 0.0000
Pr 0.0000 0.0000 12.6824
Ga 2.2169 0.0000 1.2363
Ga 2.2169 -1.4684 4.8572
Ga 0.0000 0.0000 6.6050
Ga 2.2169 1.4684 4.8572
Ga 0.0000 3.2167 3.1373
Ga 0.0000 0.0000 9.3840
Ga 0.0000 6.1535 3.1373
Ga 0.0000 4.6851 6.7582
Ir 2.2169 2.3080 -2.3113
Ir 2.2169 2.3080 2.3113
Ir 0.0000 2.3771 5.6832
Ir 0.0000 2.3771 10.3058
```

The formation energy is -0.6587 eV per atom. As for the space-group type: Immm (71).

(23)
# Pr3Ga4Ir2

Pr3Ga4Ir2 after structural relaxation (PBE, Alexandria via LeMat-Bulk).

```
9
Lattice="5.5398 -2.2291 0.0000 5.5398 2.2291 0.0000 -2.5085 0.0000 8.0787" Properties=species:S:1:pos:R:3 pbc="T T T"
Pr 0.0000 0.0000 0.0000
Pr 3.4369 0.0000 2.4611
Pr 5.1342 0.0000 5.6176
Ga 0.0986 0.0000 3.3129
Ga 0.7855 0.0000 7.4509
Ga 7.7856 0.0000 0.6278
Ga 8.4725 0.0000 4.7657
Ir 1.8948 0.0000 5.1979
Ir 6.6763 0.0000 2.8808
```

The formation energy is -0.6723 eV per atom. As for the space-group type: C2/m (12). For the offset from the most stable computed form, the calculation gives 1.0 kJ/mol of atoms.

(24)
# Pr6GaIr3

Pr6GaIr3 after structural relaxation (PBE, Alexandria via LeMat-Bulk).

```
20
Lattice="10.9439 0.0000 0.0000 0.0000 4.5174 0.0000 -4.4048 0.0000 11.5518" Properties=species:S:1:pos:R:3 pbc="T T T"
Pr -1.4398 1.1293 4.5308
Pr -3.0848 1.1293 10.7487
Pr 1.2280 3.3880 3.5161
Pr 0.1163 3.3880 9.2070
Pr 3.6825 3.3880 1.1671
Pr 1.6899 1.1293 6.5007
Pr 4.8492 3.3880 5.0511
Pr 2.8566 1.1293 10.3847
Pr 6.4228 1.1293 2.3448
Pr 5.3111 1.1293 8.0357
Pr 9.6239 3.3880 0.8031
Pr 7.9789 3.3880 7.0210
Ga 3.3782 1.1293 3.4440
Ga 3.1609 3.3880 8.1078
Ir 0.1832 1.1293 1.9912
Ir -0.1854 3.3880 6.0404
Ir 0.0318 1.1293 11.0308
Ir 6.5073 3.3880 0.5210
Ir 6.7245 1.1293 5.5114
Ir 6.3559 3.3880 9.5606
```

The formation energy is -0.5002 eV per atom. As for the space-group type: P2_1/m (11).

Table of total energy (eV/atom), in record order: -4.902, -5.666, -7.269, -6.012, -6.294, -5.913, -6.523, -6.789, -7.459, -6.287, -6.381, -6.472, -6.600, -6.188, -5.897, -5.569, -3.925, -6.997, -6.748, -5.157, -4.683, -5.582, -5.580, -6.329